{"formula": "CaSc2Ag", "functional": "PBE-GGA", "state": "relaxed", "formation_enthalpy_0k_mev_per_atom": 149.4, "volume_a3_per_atom": 24.0, "spacegroup": "No. 225", "crystal_system": "cubic", "lattice": [[0.0000, 3.6339, 3.6339], [3.6339, 0.0000, 3.6339], [3.6339, 3.6339, 0.0000]], "species": ["Ca", "Sc", "Sc", "Ag"], "fractional_positions": [[0.0000, 0.0000, 0.0000], [0.2500, 0.2500, 0.2500], [0.7500, 0.7500, 0.7500], [0.5000, 0.5000, 0.5000]]}

***

{"formula": "Ce3Tl4SnS8", "functional": "PBE-GGA", "state": "relaxed", "volume_a3_per_atom": 28.2, "spacegroup": "No. 166", "e_form_raw_ev_per_atom": -1.1903, "crystal_system": "trigonal", "lattice": [[4.1950, 2.4220, 7.3991], [-4.1950, 2.4220, 7.3991], [0.0000, -4.8440, 7.3991]], "species": ["Ce", "Ce", "Ce", "Tl", "Tl", "Tl", "Tl", "Sn", "S", "S", "S", "S", "S", "S", "S", "S"], "fractional_positions": [[0.0000, 0.5000, 0.5000], [0.5000, 0.0000, 0.5000], [0.5000, 0.5000, 0.0000], [0.0000, 0.0000, 0.5000], [0.0000, 0.5000, 0.0000], [0.5000, 0.0000, 0.0000], [0.5000, 0.5000, 0.5000], [0.0000, 0.0000, 0.0000], [0.2387, 0.2387, 0.7234], [0.2387, 0.7234, 0.2387], [0.2660, 0.2660, 0.2660], [0.2766, 0.7613, 0.7613], [0.7234, 0.2387, 0.2387], [0.7340, 0.7340, 0.7340], [0.7613, 0.2766, 0.7613], [0.7613, 0.7613, 0.2766]]}

***

{"formula": "SmScInAu", "functional": "PBE-GGA", "state": "relaxed", "formation_enthalpy_0k_mev_per_atom": -559.8, "volume_a3_per_atom": 24.1, "spacegroup": "No. 216", "crystal_system": "cubic", "lattice": [[0.0000, 3.6385, 3.6385], [3.6385, 0.0000, 3.6385], [3.6385, 3.6385, 0.0000]], "species": ["Sm", "Sc", "In", "Au"], "fractional_positions": [[0.0000, 0.0000, 0.0000], [0.5000, 0.5000, 0.5000], [0.7500, 0.7500, 0.7500], [0.2500, 0.2500, 0.2500]]}

***

{"formula": "Sm2Dy2Y4Ho", "functional": "PBE-GGA", "state": "relaxed", "formation_enthalpy_0k_mev_per_atom": 4.6, "volume_a3_per_atom": 32.3, "spacegroup": "No. 12", "crystal_system": "monoclinic", "lattice": [[9.3617, -1.8016, 0.0000], [9.3617, 1.8016, 0.0000], [-4.1658, 0.0000, 8.6308]], "species": ["Sm", "Sm", "Dy", "Dy", "Y", "Y", "Y", "Y", "Ho"], "fractional_positions": [[0.1485, 0.1485, 0.1668], [0.8515, 0.8515, 0.8332], [0.3338, 0.3338, 0.5000], [0.6662, 0.6662, 0.5000], [0.1848, 0.1848, 0.8323], [0.4814, 0.4814, 0.1681], [0.5186, 0.5186, 0.8319], [0.8152, 0.8152, 0.1677], [0.0000, 0.0000, 0.5000]]}

***

{"formula": "KTiAl", "functional": "PBE-GGA", "state": "relaxed", "formation_enthalpy_0k_mev_per_atom": 356.2, "volume_a3_per_atom": 26.9, "spacegroup": "No. 1", "crystal_system": "triclinic", "lattice": [[2.9999, 0.0000, 0.0000], [0.0009, 6.7848, 0.0000], [0.0136, 2.8444, 7.9228]], "species": ["K", "K", "Ti", "Ti", "Al", "Al"], "fractional_positions": [[0.0000, 0.0000, 0.0000], [0.0083, 0.4107, 0.2170], [0.0035, 0.4155, 0.6349], [0.0043, 0.8136, 0.4798], [0.5031, 0.6523, 0.7770], [0.5038, 0.0787, 0.6035]]}

***

{"formula": "SmSbS3", "functional": "PBE-GGA", "state": "relaxed", "volume_a3_per_atom": 28.9, "spacegroup": "No. 14", "e_form_raw_ev_per_atom": -1.1061, "crystal_system": "monoclinic", "lattice": [[7.8901, 0.0000, 0.0000], [0.0000, 7.0069, 0.0000], [-0.3801, 0.0000, 10.4426]], "species": ["Sm", "Sm", "Sm", "Sm", "Sb", "Sb", "Sb", "Sb", "S", "S", "S", "S", "S", "S", "S", "S", "S", "S", "S", "S"], "fractional_positions": [[0.0174, 0.2204, 0.1366], [0.0174, 0.2796, 0.6366], [0.9826, 0.7204, 0.3634], [0.9826, 0.7796, 0.8634], [0.3651, 0.6915, 0.6157], [0.3651, 0.8085, 0.1157], [0.6349, 0.1915, 0.8843], [0.6349, 0.3085, 0.3843], [0.1022, 0.6131, 0.1186], [0.1022, 0.8869, 0.6186], [0.2337, 0.0324, 0.9550], [0.2337, 0.4676, 0.4550], [0.2578, 0.5026, 0.7924], [0.2578, 0.9974, 0.2924], [0.7422, 0.0026, 0.7076], [0.7422, 0.4974, 0.2076], [0.7663, 0.5324, 0.5450], [0.7663, 0.9676, 0.0450], [0.8978, 0.1131, 0.3814], [0.8978, 0.3869, 0.8814]]}

***

{"formula": "SiNCl2", "functional": "PBE-GGA", "state": "relaxed", "volume_a3_per_atom": 21.9, "spacegroup": "No. 141", "e_form_raw_ev_per_atom": 1.4976, "crystal_system": "tetragonal", "lattice": [[-3.1197, 3.1197, 4.5079], [3.1197, -3.1197, 4.5079], [3.1197, 3.1197, -4.5079]], "species": ["Si", "Si", "N", "N", "Cl", "Cl", "Cl", "Cl"], "fractional_positions": [[0.3750, 0.6250, 0.7500], [0.6250, 0.3750, 0.2500], [0.1250, 0.8750, 0.2500], [0.8750, 0.1250, 0.7500], [0.0000, 0.0000, 0.0000], [0.0000, 0.0000, 0.5000], [0.0000, 0.5000, 0.0000], [0.5000, 0.0000, 0.5000]]}

***

{"formula": "LiScSiRh", "functional": "PBE-GGA", "state": "relaxed", "volume_a3_per_atom": 14.6, "spacegroup": "No. 216", "e_form_raw_ev_per_atom": -0.7425, "crystal_system": "cubic", "lattice": [[0.0000, 3.0791, 3.0791], [3.0791, 0.0000, 3.0791], [3.0791, 3.0791, 0.0000]], "species": ["Li", "Sc", "Si", "Rh"], "fractional_positions": [[0.0000, 0.0000, 0.0000], [0.7500, 0.7500, 0.7500], [0.2500, 0.2500, 0.2500], [0.5000, 0.5000, 0.5000]]}

***

{"formula": "Pm5Ga2Co", "functional": "PBE-GGA", "state": "relaxed", "formation_enthalpy_0k_mev_per_atom": -338.3, "volume_a3_per_atom": 26.7, "spacegroup": "No. 55", "crystal_system": "orthorhombic", "lattice": [[7.7778, 0.0000, 0.0000], [0.0000, 11.8503, 0.0000], [0.0000, 0.0000, 4.6329]], "species": ["Pm", "Pm", "Pm", "Pm", "Pm", "Pm", "Pm", "Pm", "Pm", "Pm", "Ga", "Ga", "Ga", "Ga", "Co", "Co"], "fractional_positions": [[0.0000, 0.0000, 0.0000], [0.1391, 0.2968, 0.0000], [0.1837, 0.5748, 0.5000], [0.3163, 0.0748, 0.5000], [0.3609, 0.7968, 0.0000], [0.5000, 0.5000, 0.0000], [0.6391, 0.2032, 0.0000], [0.6837, 0.9252, 0.5000], [0.8163, 0.4252, 0.5000], [0.8609, 0.7032, 0.0000], [0.0736, 0.8336, 0.5000], [0.4264, 0.3336, 0.5000], [0.5736, 0.6664, 0.5000], [0.9264, 0.1664, 0.5000], [0.0000, 0.5000, 0.0000], [0.5000, 0.0000, 0.0000]]}

***

{"formula": "TiBe9Pt2", "functional": "PBE-GGA", "state": "relaxed", "formation_enthalpy_0k_mev_per_atom": -414.1, "volume_a3_per_atom": 9.7, "spacegroup": "No. 194", "crystal_system": "hexagonal", "lattice": [[4.3802, 0.0000, 0.0000], [-2.1901, 3.7933, 0.0000], [0.0000, 0.0000, 14.0304]], "species": ["Ti", "Ti", "Be", "Be", "Be", "Be", "Be", "Be", "Be", "Be", "Be", "Be", "Be", "Be", "Be", "Be", "Be", "Be", "Be", "Be", "Pt", "Pt", "Pt", "Pt"], "fractional_positions": [[0.3333, 0.6667, 0.2500], [0.6667, 0.3333, 0.7500], [0.0000, 0.0000, 0.0000], [0.0000, 0.0000, 0.2500], [0.0000, 0.0000, 0.5000], [0.0000, 0.0000, 0.7500], [0.1673, 0.3347, 0.6255], [0.1673, 0.3347, 0.8745], [0.1673, 0.8327, 0.6255], [0.1673, 0.8327, 0.8745], [0.3333, 0.6667, 0.7500], [0.3347, 0.1673, 0.1255], [0.3347, 0.1673, 0.3745], [0.6653, 0.8327, 0.6255], [0.6653, 0.8327, 0.8745], [0.6667, 0.3333, 0.2500], [0.8327, 0.1673, 0.1255], [0.8327, 0.1673, 0.3745], [0.8327, 0.6653, 0.1255], [0.8327, 0.6653, 0.3745], [0.3333, 0.6667, 0.0476], [0.3333, 0.6667, 0.4524], [0.6667, 0.3333, 0.5476], [0.6667, 0.3333, 0.9524]]}

***

{"formula": "In3W", "functional": "PBE-GGA", "state": "relaxed", "formation_enthalpy_0k_mev_per_atom": 651.7, "volume_a3_per_atom": 21.1, "spacegroup": "No. 166", "crystal_system": "trigonal", "lattice": [[4.8510, 2.8007, 1.0374], [-4.8510, 2.8007, 1.0374], [0.0000, -5.6015, 1.0374]], "species": ["In", "In", "In", "W"], "fractional_positions": [[0.0000, 0.5000, 0.5000], [0.5000, 0.0000, 0.5000], [0.5000, 0.5000, 0.0000], [0.0000, 0.0000, 0.0000]]}

***

{"formula": "NaAgOsF6", "functional": "PBE-GGA", "state": "relaxed", "volume_a3_per_atom": 15.7, "spacegroup": "No. 163", "e_form_raw_ev_per_atom": -1.7803, "crystal_system": "trigonal", "lattice": [[5.8029, 0.0000, 0.0000], [-2.9015, 5.0255, 0.0000], [0.0000, 0.0000, 9.7167]], "species": ["Na", "Na", "Ag", "Ag", "Os", "Os", "F", "F", "F", "F", "F", "F", "F", "F", "F", "F", "F", "F"], "fractional_positions": [[0.3333, 0.6667, 0.2500], [0.6667, 0.3333, 0.7500], [0.0000, 0.0000, 0.0000], [0.0000, 0.0000, 0.5000], [0.3333, 0.6667, 0.7500], [0.6667, 0.3333, 0.2500], [0.0461, 0.3861, 0.6371], [0.0461, 0.6600, 0.8629], [0.3400, 0.3861, 0.8629], [0.3400, 0.9539, 0.6371], [0.3861, 0.0461, 0.1371], [0.3861, 0.3400, 0.3629], [0.6139, 0.6600, 0.6371], [0.6139, 0.9539, 0.8629], [0.6600, 0.0461, 0.3629], [0.6600, 0.6139, 0.1371], [0.9539, 0.3400, 0.1371], [0.9539, 0.6139, 0.3629]]}